{
  "formula": "Al5Re2",
  "functional": "PBE",
  "state": "relaxed",
  "cell": [[7.9118, 0.0000, 0.0000], [-3.9559, 6.8519, 0.0000], [0.0000, 0.0000, 8.2455]],
  "species": ["Al", "Al", "Al", "Al", "Al", "Al", "Al", "Al", "Al", "Al", "Al", "Al", "Al", "Al", "Al", "Al", "Al", "Al", "Al", "Al", "Re", "Re", "Re", "Re", "Re", "Re", "Re", "Re"],
  "fractional_positions": [[0.0000, 0.0000, 0.0000], [0.0000, 0.0000, 0.5000], [0.0659, 0.5329, 0.2500], [0.1930, 0.3860, 0.5492], [0.1930, 0.3860, 0.9508], [0.1930, 0.8070, 0.5492], [0.1930, 0.8070, 0.9508], [0.3860, 0.1930, 0.0492], [0.3860, 0.1930, 0.4508], [0.4671, 0.5329, 0.2500], [0.4671, 0.9341, 0.2500], [0.5329, 0.0659, 0.7500], [0.5329, 0.4671, 0.7500], [0.6140, 0.8070, 0.5492], [0.6140, 0.8070, 0.9508], [0.8070, 0.1930, 0.0492], [0.8070, 0.1930, 0.4508], [0.8070, 0.6140, 0.0492], [0.8070, 0.6140, 0.4508], [0.9341, 0.4671, 0.7500], [0.1221, 0.2442, 0.2500], [0.1221, 0.8779, 0.2500], [0.2442, 0.1221, 0.7500], [0.3333, 0.6667, 0.7500], [0.6667, 0.3333, 0.2500], [0.7558, 0.8779, 0.2500], [0.8779, 0.1221, 0.7500], [0.8779, 0.7558, 0.7500]],
  "dft_energy_ha_per_atom": -0.236
}

{
  "formula": "LiZnNO",
  "functional": "PBE",
  "state": "relaxed",
  "cell": [[4.1316, 0.0000, 0.0000], [0.0000, 4.1316, 0.0000], [0.0000, 0.0000, 4.1341]],
  "species": ["Li", "Li", "Zn", "Zn", "N", "N", "O", "O"],
  "fractional_positions": [[0.2500, 0.2500, 0.0010], [0.7500, 0.7500, 0.9990], [0.2500, 0.7500, 0.5000], [0.7500, 0.2500, 0.5000], [0.2500, 0.2500, 0.5015], [0.7500, 0.7500, 0.4985], [0.2500, 0.7500, 0.0000], [0.7500, 0.2500, 0.0000]],
  "e_above_lowest_polymorph_kj_per_mol_atoms": 10.02
}

{
  "formula": "LiIrO3",
  "functional": "PBE",
  "state": "relaxed",
  "cell": [[3.2985, 0.0000, 0.0000], [0.0000, 3.2985, 0.0000], [0.0000, 0.0000, 4.7565]],
  "species": ["Li", "Ir", "O", "O", "O"],
  "fractional_positions": [[0.0000, 0.0000, 0.0000], [0.5000, 0.5000, 0.4227], [0.0000, 0.0000, 0.6171], [0.0000, 0.5000, 0.2029], [0.5000, 0.0000, 0.2029]],
  "dft_energy_ha_per_atom": -0.202
}

{
  "formula": "CdFeTcAu",
  "functional": "PBE",
  "state": "relaxed",
  "cell": [[0.0000, 3.1865, 3.1865], [3.1865, 0.0000, 3.1865], [3.1865, 3.1865, 0.0000]],
  "species": ["Cd", "Fe", "Tc", "Au"],
  "fractional_positions": [[0.0000, 0.0000, 0.0000], [0.5000, 0.5000, 0.5000], [0.2500, 0.2500, 0.2500], [0.7500, 0.7500, 0.7500]],
  "e_form_ev_per_fu": 1.67,
  "e_above_lowest_polymorph_kj_per_mol_atoms": 0.00
}

{
  "formula": "Co2PbS3",
  "functional": "PBE",
  "state": "relaxed",
  "cell": [[1.6882, -6.6887, 0.0000], [1.6882, 6.6887, 0.0000], [0.0000, 0.0000, 9.3907]],
  "species": ["Co", "Co", "Co", "Co", "Pb", "Pb", "S", "S", "S", "S", "S", "S"],
  "fractional_positions": [[0.0000, 0.0000, 0.0000], [0.0000, 0.0000, 0.5000], [0.3874, 0.6126, 0.7500], [0.6126, 0.3874, 0.2500], [0.2790, 0.7210, 0.2500], [0.7210, 0.2790, 0.7500], [0.0091, 0.9909, 0.2500], [0.3884, 0.6116, 0.5140], [0.3884, 0.6116, 0.9860], [0.6116, 0.3884, 0.0140], [0.6116, 0.3884, 0.4860], [0.9909, 0.0091, 0.7500]],
  "dft_energy_ha_per_atom": -0.196
}

{
  "formula": "KPr2InPd4",
  "functional": "PBE",
  "state": "relaxed",
  "cell": [[4.7982, 0.0000, 0.0000], [-2.3991, 4.1554, 0.0000], [0.0000, 0.0000, 9.3636]],
  "species": ["K", "Pr", "Pr", "In", "Pd", "Pd", "Pd", "Pd"],
  "fractional_positions": [[0.0000, 0.0000, 0.0000], [0.3333, 0.6667, 0.2590], [0.6667, 0.3333, 0.7410], [0.0000, 0.0000, 0.5000], [0.3333, 0.6667, 0.5795], [0.3333, 0.6667, 0.8845], [0.6667, 0.3333, 0.1155], [0.6667, 0.3333, 0.4205]],
  "dft_energy_ha_per_atom": -0.175
}

{
  "formula": "LiYGaAu",
  "functional": "PBE",
  "state": "relaxed",
  "cell": [[0.0000, 3.4115, 3.4115], [3.4115, 0.0000, 3.4115], [3.4115, 3.4115, 0.0000]],
  "species": ["Li", "Y", "Ga", "Au"],
  "fractional_positions": [[0.0000, 0.0000, 0.0000], [0.5000, 0.5000, 0.5000], [0.2500, 0.2500, 0.2500], [0.7500, 0.7500, 0.7500]],
  "e_above_lowest_polymorph_kj_per_mol_atoms": 3.73
}

{
  "formula": "Cu4Tc2Pd",
  "functional": "PBE",
  "state": "relaxed",
  "cell": [[2.6373, 0.0000, 0.0000], [-1.3186, 2.2839, 0.0000], [0.0000, 0.0000, 15.8673]],
  "species": ["Cu", "Cu", "Cu", "Cu", "Tc", "Tc", "Pd"],
  "fractional_positions": [[0.3333, 0.6667, 0.3622], [0.3333, 0.6667, 0.9347], [0.6667, 0.3333, 0.0653], [0.6667, 0.3333, 0.6378], [0.3333, 0.6667, 0.2042], [0.6667, 0.3333, 0.7958], [0.0000, 0.0000, 0.5000]],
  "e_form_ev_per_fu": 1.96
}

{
  "formula": "TlTcAuSe3",
  "functional": "PBE",
  "state": "relaxed",
  "cell": [[8.9032, 0.0000, 0.0000], [0.0000, 3.7687, 0.0000], [0.0000, 0.0000, 16.8161]],
  "species": ["Tl", "Tl", "Tl", "Tl", "Tc", "Tc", "Tc", "Tc", "Au", "Au", "Au", "Au", "Se", "Se", "Se", "Se", "Se", "Se", "Se", "Se", "Se", "Se", "Se", "Se"],
  "fractional_positions": [[0.0630, 0.2500, 0.1504], [0.4370, 0.7500, 0.6504], [0.5630, 0.2500, 0.3496], [0.9370, 0.7500, 0.8496], [0.1723, 0.7500, 0.4355], [0.3277, 0.2500, 0.9355], [0.6723, 0.7500, 0.0645], [0.8277, 0.2500, 0.5645], [0.0495, 0.2500, 0.6925], [0.4505, 0.7500, 0.1925], [0.5495, 0.2500, 0.8075], [0.9505, 0.7500, 0.3075], [0.0283, 0.7500, 0.5726], [0.1776, 0.7500, 0.9907], [0.2469, 0.7500, 0.2950], [0.2531, 0.2500, 0.7950], [0.3224, 0.2500, 0.4907], [0.4717, 0.2500, 0.0726], [0.5283, 0.7500, 0.9274], [0.6776, 0.7500, 0.5093], [0.7469, 0.7500, 0.2050], [0.7531, 0.2500, 0.7050], [0.8224, 0.2500, 0.0093], [0.9717, 0.2500, 0.4274]],
  "e_above_lowest_polymorph_kj_per_mol_atoms": 6.18
}

{
  "formula": "PmMg2Ag4",
  "functional": "PBE",
  "state": "relaxed",
  "cell": [[-3.5707, 3.5707, 2.7989], [3.5707, -3.5707, 2.7989], [3.5707, 3.5707, -2.7989]],
  "species": ["Pm", "Mg", "Mg", "Ag", "Ag", "Ag", "Ag"],
  "fractional_positions": [[0.0000, 0.0000, 0.0000], [0.2500, 0.7500, 0.5000], [0.7500, 0.2500, 0.5000], [0.3044, 0.3044, 0.6087], [0.3044, 0.6956, 0.0000], [0.6956, 0.3044, 0.0000], [0.6956, 0.6956, 0.3913]],
  "dft_energy_ha_per_atom": -0.111
}

{
  "formula": "Si2NiGe",
  "functional": "PBE",
  "state": "relaxed",
  "cell": [[0.0000, 3.0636, 3.0636], [3.0636, 0.0000, 3.0636], [3.0636, 3.0636, 0.0000]],
  "species": ["Si", "Si", "Ni", "Ge"],
  "fractional_positions": [[0.0000, 0.0000, 0.0000], [0.2500, 0.2500, 0.2500], [0.5000, 0.5000, 0.5000], [0.7500, 0.7500, 0.7500]],
  "dft_energy_ha_per_atom": -0.181
}

{
  "formula": "DyNpBr6",
  "functional": "PBE",
  "state": "relaxed",
  "cell": [[3.6750, -6.3191, 0.0000], [3.6750, 6.3191, 0.0000], [-2.4928, 0.0000, 6.6918]],
  "species": ["Dy", "Np", "Br", "Br", "Br", "Br", "Br", "Br"],
  "fractional_positions": [[0.0000, 0.0000, 0.0000], [0.3336, 0.6664, 0.0000], [0.1011, 0.4054, 0.2389], [0.2226, 0.2413, 0.7613], [0.3896, 0.0633, 0.2396], [0.5946, 0.8989, 0.7611], [0.7587, 0.7774, 0.2387], [0.9367, 0.6104, 0.7604]],
  "dft_energy_ha_per_atom": -0.185
}

{
  "formula": "Nb2HgB",
  "functional": "PBE",
  "state": "relaxed",
  "cell": [[0.0000, 3.2163, 3.2163], [3.2163, 0.0000, 3.2163], [3.2163, 3.2163, 0.0000]],
  "species": ["Nb", "Nb", "Hg", "B"],
  "fractional_positions": [[0.0000, 0.0000, 0.0000], [0.2500, 0.2500, 0.2500], [0.7500, 0.7500, 0.7500], [0.5000, 0.5000, 0.5000]],
  "dft_energy_ha_per_atom": -0.209
}

{
  "formula": "GeSb2Mo",
  "functional": "PBE",
  "state": "relaxed",
  "cell": [[0.0000, 3.4523, 3.4523], [3.4523, 0.0000, 3.4523], [3.4523, 3.4523, 0.0000]],
  "species": ["Ge", "Sb", "Sb", "Mo"],
  "fractional_positions": [[0.0000, 0.0000, 0.0000], [0.5000, 0.5000, 0.5000], [0.7500, 0.7500, 0.7500], [0.2500, 0.2500, 0.2500]],
  "dft_energy_ha_per_atom": -0.195
}

{
  "formula": "BeZn",
  "functional": "PBE",
  "state": "relaxed",
  "cell": [[4.0289, 0.0000, 0.0000], [-2.0145, 3.4892, 0.0000], [0.0000, 0.0000, 4.3801]],
  "species": ["Be", "Be", "Zn", "Zn"],
  "fractional_positions": [[0.3333, 0.6667, 0.2500], [0.6667, 0.3333, 0.7500], [0.3333, 0.6667, 0.7500], [0.6667, 0.3333, 0.2500]],
  "dft_energy_ha_per_atom": -0.068
}

{
  "formula": "Ba2Sb2PdAu",
  "functional": "PBE",
  "state": "relaxed",
  "cell": [[4.7053, 0.0000, 0.0000], [-2.3526, 4.0749, 0.0000], [0.0000, 0.0000, 9.7785]],
  "species": ["Ba", "Ba", "Sb", "Sb", "Pd", "Au"],
  "fractional_positions": [[0.0000, 0.0000, 0.2418], [0.0000, 0.0000, 0.7582], [0.3333, 0.6667, 0.5000], [0.6667, 0.3333, 0.0000], [0.3333, 0.6667, 0.0000], [0.6667, 0.3333, 0.5000]],
  "dft_energy_ha_per_atom": -0.160
}

{
  "formula": "NbTlW",
  "functional": "PBE",
  "state": "relaxed",
  "cell": [[0.0000, 3.2347, 3.2347], [3.2347, 0.0000, 3.2347], [3.2347, 3.2347, 0.0000]],
  "species": ["Nb", "Tl", "W"],
  "fractional_positions": [[0.0000, 0.0000, 0.0000], [0.7500, 0.7500, 0.7500], [0.2500, 0.2500, 0.2500]],
  "e_above_lowest_polymorph_kj_per_mol_atoms": 0.00
}

{
  "formula": "Sn32Pd6S21",
  "functional": "PBE",
  "state": "relaxed",
  "cell": [[14.2432, 0.0000, 0.0000], [-7.1216, 12.3350, 0.0000], [0.0000, 0.0000, 9.1907]],
  "species": ["Sn", "Sn", "Sn", "Sn", "Sn", "Sn", "Sn", "Sn", "Sn", "Sn", "Sn", "Sn", "Sn", "Sn", "Sn", "Sn", "Sn", "Sn", "Sn", "Sn", "Sn", "Sn", "Sn", "Sn", "Sn", "Sn", "Sn", "Sn", "Sn", "Sn", "Sn", "Sn", "Pd", "Pd", "Pd", "Pd", "Pd", "Pd", "S", "S", "S", "S", "S", "S", "S", "S", "S", "S", "S", "S", "S", "S", "S", "S", "S", "S", "S", "S", "S"],
  "fractional_positions": [[0.0000, 0.1484, 0.0000], [0.0000, 0.3381, 0.1965], [0.0000, 0.4887, 0.6942], [0.0000, 0.8590, 0.3998], [0.1402, 0.2996, 0.6732], [0.1410, 0.1410, 0.3998], [0.1484, 0.0000, 0.0000], [0.1566, 0.6498, 0.2567], [0.1594, 0.8598, 0.6732], [0.1821, 0.5142, 0.9421], [0.2996, 0.1402, 0.6732], [0.3321, 0.8179, 0.9421], [0.3333, 0.6667, 0.5584], [0.3381, 0.0000, 0.1965], [0.3502, 0.5068, 0.2567], [0.4858, 0.6679, 0.9421], [0.4887, 0.0000, 0.6942], [0.4932, 0.8434, 0.2567], [0.5068, 0.3502, 0.2567], [0.5113, 0.5113, 0.6942], [0.5142, 0.1821, 0.9421], [0.6498, 0.1566, 0.2567], [0.6619, 0.6619, 0.1965], [0.6667, 0.3333, 0.5584], [0.6679, 0.4858, 0.9421], [0.7004, 0.8406, 0.6732], [0.8179, 0.3321, 0.9421], [0.8406, 0.7004, 0.6732], [0.8434, 0.4932, 0.2567], [0.8516, 0.8516, 0.0000], [0.8590, 0.0000, 0.3998], [0.8598, 0.1594, 0.6732], [0.0000, 0.0000, 0.1913], [0.0000, 0.3246, 0.8575], [0.3246, 0.0000, 0.8575], [0.3333, 0.6667, 0.1125], [0.6667, 0.3333, 0.1125], [0.6754, 0.6754, 0.8575], [0.0000, 0.4624, 0.4140], [0.0000, 0.5787, 0.0747], [0.0000, 0.8201, 0.8560], [0.1625, 0.3267, 0.3068], [0.1642, 0.8375, 0.3068], [0.1799, 0.1799, 0.8560], [0.1899, 0.6814, 0.7371], [0.3186, 0.5085, 0.7371], [0.3267, 0.1625, 0.3068], [0.4213, 0.4213, 0.0747], [0.4624, 0.0000, 0.4140], [0.4915, 0.8101, 0.7371], [0.5085, 0.3186, 0.7371], [0.5376, 0.5376, 0.4140], [0.5787, 0.0000, 0.0747], [0.6733, 0.8358, 0.3068], [0.6814, 0.1899, 0.7371], [0.8101, 0.4915, 0.7371], [0.8201, 0.0000, 0.8560], [0.8358, 0.6733, 0.3068], [0.8375, 0.1642, 0.3068]],
  "dft_energy_ha_per_atom": -0.162
}

{
  "formula": "Co11Re2",
  "functional": "PBE",
  "state": "relaxed",
  "cell": [[2.2878, 1.3209, 8.1992], [-2.2878, 1.3209, 8.1992], [0.0000, -2.6418, 8.1992]],
  "species": ["Co", "Co", "Co", "Co", "Co", "Co", "Co", "Co", "Co", "Co", "Co", "Re", "Re"],
  "fractional_positions": [[0.0000, 0.0000, 0.0000], [0.0875, 0.0875, 0.5831], [0.0875, 0.5831, 0.0875], [0.1649, 0.1649, 0.1649], [0.4169, 0.9125, 0.9125], [0.4546, 0.4546, 0.4546], [0.5454, 0.5454, 0.5454], [0.5831, 0.0875, 0.0875], [0.8351, 0.8351, 0.8351], [0.9125, 0.4169, 0.9125], [0.9125, 0.9125, 0.4169], [0.3495, 0.3495, 0.3495], [0.6505, 0.6505, 0.6505]],
  "e_form_ev_per_fu": 1.29,
  "e_above_lowest_polymorph_kj_per_mol_atoms": 0.00
}

{
  "formula": "CuPbSeCl",
  "functional": "PBE",
  "state": "relaxed",
  "cell": [[4.4406, 0.0000, 0.0000], [0.0000, 4.4406, 0.0000], [0.0000, 0.0000, 8.9916]],
  "species": ["Cu", "Cu", "Pb", "Pb", "Se", "Se", "Cl", "Cl"],
  "fractional_positions": [[0.2500, 0.7500, 0.0000], [0.7500, 0.2500, 0.0000], [0.2500, 0.2500, 0.2865], [0.7500, 0.7500, 0.7135], [0.2500, 0.2500, 0.8540], [0.7500, 0.7500, 0.1460], [0.2500, 0.7500, 0.5000], [0.7500, 0.2500, 0.5000]],
  "dft_energy_ha_per_atom": -0.135
}

{
  "formula": "Na2ZrH6O6",
  "functional": "PBE",
  "state": "relaxed",
  "cell": [[2.9329, 1.6933, 4.6447], [-2.9329, 1.6933, 4.6447], [0.0000, -3.3866, 4.6447]],
  "species": ["Na", "Na", "Zr", "H", "H", "H", "H", "H", "H", "O", "O", "O", "O", "O", "O"],
  "fractional_positions": [[0.1656, 0.1656, 0.1656], [0.8344, 0.8344, 0.8344], [0.5000, 0.5000, 0.5000], [0.0602, 0.3332, 0.6466], [0.3332, 0.6466, 0.0602], [0.3534, 0.9398, 0.6668], [0.6466, 0.0602, 0.3332], [0.6668, 0.3534, 0.9398], [0.9398, 0.6668, 0.3534], [0.1153, 0.4161, 0.7176], [0.2824, 0.8847, 0.5839], [0.4161, 0.7176, 0.1153], [0.5839, 0.2824, 0.8847], [0.7176, 0.1153, 0.4161], [0.8847, 0.5839, 0.2824]],
  "dft_energy_ha_per_atom": -0.209
}